(1)
{"formula": "Y3Ga3Ge2", "functional": "GGA-PBE", "state": "optimized geometry", "lattice_angstrom": [[4.2169, 0.0000, 0.0000], [-2.1085, 5.4397, 0.0000], [0.0000, 0.0000, 14.9008]], "species": ["Y", "Y", "Y", "Y", "Y", "Y", "Ga", "Ga", "Ga", "Ga", "Ga", "Ga", "Ge", "Ge", "Ge", "Ge"], "fractional_positions": [[0.9414, 0.8829, 0.3863], [0.0586, 0.1171, 0.8863], [0.9414, 0.8829, 0.1137], [0.0586, 0.1171, 0.6137], [0.6620, 0.3241, 0.2500], [0.3380, 0.6759, 0.7500], [0.6207, 0.2414, 0.4634], [0.3793, 0.7586, 0.9634], [0.6207, 0.2414, 0.0366], [0.3793, 0.7586, 0.5366], [0.3904, 0.7809, 0.2500], [0.6096, 0.2191, 0.7500], [0.7696, 0.5393, 0.8868], [0.2304, 0.4607, 0.3868], [0.7696, 0.5393, 0.6132], [0.2304, 0.4607, 0.1132]], "rho_g_cm3": 6.0, "magmom_total_mub_per_atom": 0.00, "e_form_mev_per_atom": -641, "final_energy_ev_per_atom": -5.3542, "de_polymorph_mev_per_atom": 24}

***

(2)
{"formula": "Y3Ga3Ge", "functional": "GGA-PBE", "state": "optimized geometry", "lattice_angstrom": [[-2.2903, 3.1796, -1.2026], [-1.1028, -2.1256, -3.5195], [-5.4934, -4.0493, 6.7412]], "species": ["Y", "Y", "Y", "Ga", "Ga", "Ga", "Ge"], "fractional_positions": [[0.3160, 0.8160, 0.6320], [0.6848, 0.1848, 0.3696], [0.9989, 0.9989, 0.9978], [0.1475, 0.6475, 0.2951], [0.8502, 0.3502, 0.7004], [0.5685, 0.5685, 0.1370], [0.4340, 0.4340, 0.8681]], "rho_g_cm3": 5.7, "magmom_total_mub_per_atom": 0.00, "e_form_mev_per_atom": -704, "final_energy_ev_per_atom": -5.4310}

***

(3)
{"formula": "Y3GaGe2", "functional": "GGA-PBE", "state": "optimized geometry", "lattice_angstrom": [[4.1859, 0.0000, 0.0000], [0.0000, 11.6118, 0.0000], [0.0000, 0.0000, 11.6219]], "species": ["Y", "Y", "Y", "Y", "Y", "Y", "Y", "Y", "Y", "Y", "Y", "Y", "Ga", "Ga", "Ga", "Ga", "Ge", "Ge", "Ge", "Ge", "Ge", "Ge", "Ge", "Ge"], "fractional_positions": [[0.2500, 0.3793, 0.0556], [0.7500, 0.6207, 0.9444], [0.7500, 0.8793, 0.4444], [0.2500, 0.1207, 0.5556], [0.2500, 0.6987, 0.2037], [0.7500, 0.3013, 0.7963], [0.7500, 0.1987, 0.2963], [0.2500, 0.8013, 0.7037], [0.2500, 0.4392, 0.3758], [0.7500, 0.5608, 0.6242], [0.7500, 0.9392, 0.1242], [0.2500, 0.0608, 0.8758], [0.2500, 0.1336, 0.1349], [0.7500, 0.8664, 0.8651], [0.7500, 0.6336, 0.3651], [0.2500, 0.3664, 0.6349], [0.2500, 0.6870, 0.4848], [0.7500, 0.3130, 0.5152], [0.7500, 0.1870, 0.0152], [0.2500, 0.8130, 0.9848], [0.2500, 0.9993, 0.3142], [0.7500, 0.0007, 0.6858], [0.7500, 0.4993, 0.1858], [0.2500, 0.5007, 0.8142]], "rho_g_cm3": 5.7, "magmom_total_mub_per_atom": 0.00, "e_form_mev_per_atom": -772, "final_energy_ev_per_atom": -6.0480}

***

(4)
{"formula": "Y3Ga2Ge2", "functional": "GGA-PBE", "state": "optimized geometry", "lattice_angstrom": [[4.2624, 0.0000, 0.0000], [-2.1312, 4.9557, -2.0687], [0.0000, -0.0208, 7.4248]], "species": ["Y", "Y", "Y", "Ga", "Ga", "Ge", "Ge"], "fractional_positions": [[0.3247, 0.6493, 0.3707], [0.6753, 0.3507, 0.6293], [0.5000, 0.0000, 0.0000], [0.8089, 0.6179, 0.0712], [0.1911, 0.3821, 0.9288], [0.9604, 0.9208, 0.6604], [0.0396, 0.0792, 0.3396]], "rho_g_cm3": 5.8, "magmom_total_mub_per_atom": 0.00, "e_form_mev_per_atom": -755, "final_energy_ev_per_atom": -5.7094}

***

(5)
{"formula": "YGa6Ge", "functional": "GGA-PBE", "state": "optimized geometry", "lattice_angstrom": [[-4.1025, -2.1718, -3.3578], [3.1729, 0.5500, -4.7383], [1.9771, -5.0001, 0.5615]], "species": ["Y", "Ga", "Ga", "Ga", "Ga", "Ga", "Ga", "Ge"], "fractional_positions": [[0.5000, 0.5000, 0.5000], [0.0228, 0.5855, 0.2687], [0.5855, 0.0228, 0.2687], [0.4145, 0.9772, 0.7313], [0.9772, 0.4145, 0.7313], [0.3415, 0.3415, 0.0112], [0.6585, 0.6585, 0.9888], [0.0000, 0.0000, 0.0000]], "rho_g_cm3": 5.4, "magmom_total_mub_per_atom": 0.00, "e_form_mev_per_atom": -72, "final_energy_ev_per_atom": -3.7271}

***

(6)
{"formula": "YGa3Ge", "functional": "GGA-PBE", "state": "optimized geometry", "lattice_angstrom": [[4.9397, 0.0000, 0.0000], [0.0000, 4.9397, 0.0000], [0.0000, 0.0000, 4.9397]], "species": ["Y", "Ge", "Ga", "Ga", "Ga"], "fractional_positions": [[0.5000, 0.5000, 0.5000], [0.0000, 0.0000, 0.0000], [0.0000, 0.5000, 0.0000], [0.0000, 0.0000, 0.5000], [0.5000, 0.0000, 0.0000]], "rho_g_cm3": 5.1, "magmom_total_mub_per_atom": 0.00, "e_form_mev_per_atom": 172, "final_energy_ev_per_atom": -3.8601, "de_polymorph_mev_per_atom": 433}